# 1
VASP calculation (GGA-PBE) on a geometry-optimized Sr6Ag5Hg structure.

Results
Size of the total moment = 0.0 μB per cell
Total energy = -2.360 eV per atom
D(E_F) = 0.85 states/eV per atom
Density = 5.71 g/cm³

Unit cell a=5.594 b=9.671 c=9.671 alpha=119.97 beta=106.95 gamma=106.95
Fractional positions:
Sr 0.250 0.083 0.417
Sr 0.750 0.583 0.917
Sr 0.751 0.250 0.250
Sr 0.249 0.750 0.750
Sr 0.250 0.417 0.083
Sr 0.750 0.917 0.583
Hg 0.000 0.000 0.000
Ag 0.500 0.167 0.833
Ag 0.000 0.333 0.667
Ag 0.500 0.500 0.500
Ag 0.000 0.667 0.333
Ag 0.500 0.833 0.167

# 2
VASP calculation (GGA-PBE) on a geometry-optimized La4HgOs structure.

Results
Size of the total moment = 0.0 μB per cell
Energy above the lowest structure with this stoichiometry = 1032 meV/atom
D(E_F) = 1.82 states/eV per atom
Density = 9.31 g/cm³

Unit cell a=6.204 b=6.204 c=6.204 alpha=60.00 beta=60.00 gamma=60.00
Fractional positions:
La 0.870 0.377 0.377
La 0.377 0.377 0.870
La 0.377 0.870 0.377
La 0.377 0.377 0.377
Hg 0.000 0.000 0.000
Os 0.750 0.750 0.750